No. 1
The following is a PBE-GGA calculation of an optimized crystal structure of PmNdY2Tm5, from the Alexandria database.

abc: 8.7536 8.7536 15.0167
angles: 90.00 90.00 90.00
Space group I4/mcm (No. 140)
Inequivalent atoms, fractional coordinates:
Pm 0.0000 0.0000 0.2500 x4
Nd 0.0000 0.5000 0.2500 x4
Y 0.1162 0.3838 0.0000 x8
Tm 0.0000 0.0000 0.0000 x4
Tm 0.2052 0.2948 0.3647 x16

Computed properties:
mass density = 7.57 g/cm³

---

No. 2
The following is a PBE-GGA calculation of an optimized crystal structure of PmNd2Y6Tm2, from the Alexandria database.

abc: 5.6857 12.0574 10.7181
angles: 90.00 90.09 90.00
Space group C2/m (No. 12)
Inequivalent atoms, fractional coordinates:
Pm 0.0000 0.0000 0.0000 x2
Nd 0.0000 0.3643 0.5000 x4
Y 0.0010 0.1545 0.7142 x8
Y 0.0011 0.5000 0.7906 x4
Tm 0.0000 0.2990 0.0000 x4

Computed properties:
mass density = 5.90 g/cm³

---

No. 3
The following is a PBE-GGA calculation of an optimized crystal structure of PmNd5YTm2, from the Alexandria database.

abc: 5.6588 20.5036 10.7375
angles: 90.00 90.00 90.00
Space group Cmc2_1 (No. 36)
Inequivalent atoms, fractional coordinates:
Pm 0.0000 0.2007 0.0000 x4
Nd 0.0000 0.0152 0.0097 x4
Nd 0.0000 0.2799 0.2994 x4
Nd 0.0000 0.2965 0.6944 x4
Nd 0.0000 0.3893 0.0138 x4
Nd 0.0000 0.4806 0.7323 x4
Y 0.0000 0.4092 0.4479 x4
Tm 0.0000 0.1112 0.7287 x4
Tm 0.0000 0.1154 0.3021 x4

Computed properties:
mass density = 6.89 g/cm³

---

No. 4
The following is a PBE-GGA calculation of an optimized crystal structure of PmNdTmZn, from the Alexandria database.

abc: 7.6562 7.6562 7.6562
angles: 90.00 90.00 90.00
Space group F-43m (No. 216)
Inequivalent atoms, fractional coordinates:
Pm 0.0000 0.0000 0.0000 x4
Nd 0.0000 0.0000 0.5000 x4
Tm 0.2500 0.2500 0.7500 x4
Zn 0.2500 0.2500 0.2500 x4

Computed properties:
mass density = 7.75 g/cm³

---

No. 5
The following is a PBE-GGA calculation of an optimized crystal structure of PmNdTmZn, from the Alexandria database.

abc: 3.6079 3.6079 8.7480
angles: 90.00 90.00 90.00
Space group P4mm (No. 99)
Inequivalent atoms, fractional coordinates:
Pm 0.0000 0.0000 0.0000 x1
Nd 0.5000 0.5000 0.3041 x1
Tm 0.0000 0.0000 0.5931 x1
Zn 0.5000 0.5000 0.7797 x1

Computed properties:
mass density = 7.64 g/cm³

---

No. 6
The following is a PBE-GGA calculation of an optimized crystal structure of PmNd2V, from the Alexandria database.

abc: 3.4592 3.4592 35.3526
angles: 90.00 90.00 120.00
Space group R-3m (No. 166, hexagonal axes)
Inequivalent atoms, fractional coordinates:
Pm 0.0000 0.0000 0.0000 x3
Nd 0.0000 0.0000 0.4197 x6
V 0.0000 0.0000 0.5000 x3

Computed properties:
mass density = 6.59 g/cm³

---

No. 7
The following is a PBE-GGA calculation of an optimized crystal structure of PmNd5Y4, from the Alexandria database.

abc: 9.3618 9.3673 7.9684
angles: 90.00 90.00 90.00
Space group Pmmn (No. 59, origin choice 2)
Inequivalent atoms, fractional coordinates:
Pm 0.2500 0.2500 0.1178 x2
Nd 0.0624 0.0624 0.8089 x8
Nd 0.2500 0.7500 0.0004 x2
Y 0.0208 0.7500 0.5950 x4
Y 0.2500 0.5194 0.4053 x4

Computed properties:
mass density = 5.81 g/cm³

---

No. 8
The following is a PBE-GGA calculation of an optimized crystal structure of Pm2NdY5, from the Alexandria database.

abc: 7.2097 14.4303 5.0906
angles: 90.00 90.00 90.00
Space group Pbam (No. 55)
Inequivalent atoms, fractional coordinates:
Pm 0.2488 0.1255 0.0000 x4
Nd 0.0000 0.5000 0.5000 x2
Y 0.0000 0.0000 0.5000 x2
Y 0.0014 0.7504 0.5000 x4
Y 0.2486 0.3748 0.0000 x4

Computed properties:
mass density = 5.51 g/cm³

---

No. 9
The following is a PBE-GGA calculation of an optimized crystal structure of Pm7Nd3Y, from the Alexandria database.

abc: 11.8296 10.2519 6.5242
angles: 90.00 94.92 90.00
Space group C2/m (No. 12)
Inequivalent atoms, fractional coordinates:
Pm 0.0000 0.0000 0.0000 x2
Pm 0.2393 0.5000 0.2131 x4
Pm 0.2441 0.1722 0.2610 x8
Nd 0.0000 0.3276 0.0000 x4
Nd 0.0000 0.5000 0.5000 x2
Y 0.0000 0.0000 0.5000 x2

Computed properties:
mass density = 6.47 g/cm³

---

No. 10
The following is a PBE-GGA calculation of an optimized crystal structure of Pm4Nd15Y, from the Alexandria database.

abc: 5.1987 5.1987 25.9196
angles: 90.00 90.00 90.00
Space group P4/mmm (No. 123)
Inequivalent atoms, fractional coordinates:
Pm 0.0000 0.0000 0.1002 x2
Pm 0.0000 0.0000 0.3006 x2
Nd 0.0000 0.5000 0.0000 x2
Nd 0.0000 0.5000 0.2003 x4
Nd 0.0000 0.5000 0.4006 x4
Nd 0.5000 0.5000 0.1001 x2
Nd 0.5000 0.5000 0.3007 x2
Nd 0.5000 0.5000 0.5000 x1
Y 0.0000 0.0000 0.5000 x1

Computed properties:
mass density = 6.71 g/cm³

---

No. 11
The following is a PBE-GGA calculation of an optimized crystal structure of Pm8NdY6, from the Alexandria database.

abc: 9.1708 9.1708 20.9690
angles: 90.00 90.00 120.00
Space group R-3 (No. 148, hexagonal axes)
Inequivalent atoms, fractional coordinates:
Pm 0.0000 0.0000 0.0770 x6
Pm 0.0804 0.5235 0.3068 x18
Nd 0.0000 0.0000 0.5000 x3
Y 0.0465 0.8036 0.2061 x18

Computed properties:
mass density = 5.99 g/cm³

---

No. 12
The following is a PBE-GGA calculation of an optimized crystal structure of Pm2Nd4Y3, from the Alexandria database.

abc: 15.4077 5.1598 8.1310
angles: 90.00 108.41 90.00
Space group C2/m (No. 12)
Inequivalent atoms, fractional coordinates:
Pm 0.0550 0.0000 0.3336 x4
Nd 0.1667 0.0000 0.0005 x4
Nd 0.2219 0.5000 0.3342 x4
Y 0.0000 0.5000 0.0000 x2
Y 0.1104 0.5000 0.6672 x4

Computed properties:
mass density = 6.14 g/cm³

---

no.,density of states at the Fermi level (states/eV per atom),magnetization (μB per formula unit),ΔE_f (meV/atom)
1,1.167,0.000,289
2,1.632,0.000,150
3,1.624,0.000,151
4,1.178,0.000,13
5,1.148,0.000,-156
6,1.423,3.228,636
7,1.362,0.000,164
8,1.433,0.000,17
9,1.425,0.000,225
10,1.473,0.000,13
11,1.566,0.000,116
12,1.450,0.000,15